Record 1
CuReH2Cl, relaxed, DFT GGA-PBE; E_tot = -21.398 eV/cell; crystal system = tetragonal; total magnetic moment = 3.0 Bohr magnetons per cell; mass density = 7.07 Mg/m³
1.0
-2.1666 -2.8186 -0.0339
1.3354 -1.0873 5.0528
-2.6748 2.0423 1.1464
Re H Cl Cu
1 2 1 1
direct
0.0000 0.0000 0.0000 Re
0.0000 0.0000 0.5000 H
0.5000 0.0000 0.0000 H
0.5000 0.5000 0.5000 Cl
0.0000 0.5000 0.0000 Cu

---

Record 2
CuH2RhCl, relaxed, DFT GGA-PBE; E_tot = -18.685 eV/cell; crystal system = tetragonal; total magnetic moment = 0.0 Bohr magnetons per cell; mass density = 5.50 Mg/m³
1.0
3.3857 0.0000 0.0000
0.0000 3.3857 0.0000
0.0000 0.0000 5.3756
Rh Cl H Cu
1 1 2 1
direct
0.0000 0.0000 0.0000 Rh
0.5000 0.5000 0.5000 Cl
0.0000 0.5000 0.0000 H
0.5000 0.0000 0.0000 H
0.0000 0.0000 0.5000 Cu

---

Record 3
CuHS2Cl, relaxed, DFT GGA-PBE; crystal system = tetragonal; total magnetic moment = 3.4 Bohr magnetons per cell; relative energy among the computed polymorphs = 479 meV per atom; mass density = 2.65 Mg/m³
1.0
4.5431 0.0000 0.0000
0.0000 4.5431 0.0000
0.0000 0.0000 4.9917
Cu S Cl H
1 2 1 1
direct
0.0000 0.0000 0.0000 Cu
0.0000 0.5000 0.0000 S
0.5000 0.0000 0.0000 S
0.0000 0.0000 0.5000 Cl
0.5000 0.5000 0.5000 H